No. 1
Compound: BaZrCd2
Source: the Alexandria database
Functional: PBE-GGA
Structure: optimized geometry

Calculated values
The total energy comes out at -2.96 eV/atom.

Lattice parameters (Å, degrees): 5.911 5.911 3.221 90.00 90.00 105.80
Sites, in units of the cell vectors:
Ba: 0.000 0.500 0.500
Cd: 0.000 0.000 0.000
Cd: 0.500 0.500 0.000
Zr: 0.500 0.000 0.500



No. 2
Compound: BaZrCd2
Source: the Alexandria database
Functional: PBE-GGA
Structure: optimized geometry

Calculated values
The total energy comes out at -2.93 eV/atom.

Lattice parameters (Å, degrees): 3.432 3.432 9.611 90.00 90.00 90.00
Sites, in units of the cell vectors:
Ba: 0.500 0.500 0.762
Cd: 0.000 0.000 0.047
Cd: 0.500 0.500 0.248
Zr: 0.000 0.000 0.444



No. 3
Compound: BaZrCd2
Source: the Alexandria database
Functional: PBE-GGA
Structure: optimized geometry

Calculated values
The total energy comes out at -2.62 eV/atom.

Lattice parameters (Å, degrees): 5.312 5.312 11.066 76.11 76.11 90.00
Last column: magnetic moment on the atom in μB.
Sites, in units of the cell vectors:
Ba: 0.000 0.000 0.000  0.12
Ba: 0.750 0.250 0.500  0.12
Zr: 0.500 0.500 0.000  1.15
Zr: 0.250 0.750 0.500  1.15
Cd: 0.489 0.125 0.250  0.04
Cd: 0.261 0.625 0.250  0.04
Cd: 0.375 0.511 0.750  0.04
Cd: 0.875 0.739 0.750  0.04